Entry 1:
DFT (PBE-GGA) results for crystalline Ba5Mg4Ga at its relaxed geometry.

Cell: 4.2561 4.2561 22.0118 Å, 90.00 90.00 90.00°
Space group P4/mmm (No. 123)
Asymmetric unit:
Ba  0.0000  0.0000  0.0000 x1
Ba  0.0000  0.0000  0.2046 x2
Ba  0.0000  0.0000  0.4112 x2
Mg  0.5000  0.5000  0.1019 x2
Mg  0.5000  0.5000  0.3060 x2
Ga  0.5000  0.5000  0.5000 x1

Output
Energy of formation from the pure elements, meV per atom: -106
D(E_F), states/eV per cell: 6.54
Energy, eV per atom: -2.01



Entry 2:
DFT (PBE-GGA) results for crystalline BaMg2Ga at its relaxed geometry.

Cell: 4.7860 4.7860 18.6095 Å, 90.00 90.00 120.00°
Space group R-3m (No. 166, hexagonal axes)
Asymmetric unit:
Ba  0.0000  0.0000  0.0000 x3
Mg  0.0000  0.0000  0.2009 x6
Ga  0.0000  0.0000  0.5000 x3

Output
Energy of formation from the pure elements, meV per atom: -137
D(E_F), states/eV per cell: 9.41
Energy, eV per atom: -2.17
Energy relative to the lowest polymorph listed for this composition, eV per formula unit: 0.38



Entry 3:
DFT (PBE-GGA) results for crystalline Ba3Mg2Ga4 at its relaxed geometry.

Cell: 12.9086 4.4220 10.5276 Å, 90.00 112.78 90.00°
Space group C2/m (No. 12)
Asymmetric unit:
Ba  0.0000  0.0000  0.0000 x2
Ba  0.0944  0.5000  0.6846 x4
Mg  0.1796  0.5000  0.2881 x4
Ga  0.1590  0.0000  0.4471 x4
Ga  0.2287  0.5000  0.0452 x4

Output
Energy of formation from the pure elements, meV per atom: -300
D(E_F), states/eV per cell: 12.08
Energy, eV per atom: -2.64
Energy relative to the lowest polymorph listed for this composition, eV per formula unit: 0.00



Entry 4:
DFT (PBE-GGA) results for crystalline BaMgGaN2 at its relaxed geometry.

Cell: 6.2248 4.8994 6.1189 Å, 90.00 101.23 90.00°
Space group P2/c (No. 13)
Asymmetric unit:
Ba  0.0000  0.2415  0.2500 x2
Mg  0.5000  0.4920  0.7500 x2
Ga  0.5000  0.0000  0.0000 x2
N  0.3010  0.2885  0.9540 x4

Output
D(E_F), states/eV per cell: 4.64
Formation energy without anion corrections, eV/atom: -0.25
Energy, eV per atom: -4.89